Record 1
VASP calculation (PBE) on an optimized crystal structure of TaCrRe2H.

The structure in POSCAR format:
```
TaCrRe2H
1.0
-3.050 -2.673 -1.469
2.944 -3.123 -0.428
-0.626 -1.024 3.163
Cr Ta Re H
1 1 2 1
Direct
0.000 0.000 0.500
0.500 0.500 0.500
0.000 0.500 0.000
0.500 0.000 0.000
0.000 0.000 0.000
```

Record 2
VASP calculation (PBE) on an optimized crystal structure of BeTe3.

The structure in POSCAR format:
```
BeTe3
1.0
5.073 0.000 0.000
0.000 5.073 0.000
0.000 0.000 5.073
Te Be
3 1
Direct
0.000 0.000 0.500
0.000 0.500 0.000
0.500 0.000 0.000
0.000 0.000 0.000
```

Computed properties:
E_form (uncorrected), eV per atom: 0.4644
ΔE to the lowest computed polymorph, meV per atom: 437

Record 3
VASP calculation (PBE) on an optimized crystal structure of CsKMg6.

The structure in POSCAR format:
```
CsKMg6
1.0
-2.123 -2.383 3.741
-2.845 -3.536 -3.867
8.066 -6.894 0.185
Mg K Cs
6 1 1
Direct
0.500 0.312 0.720
0.000 0.072 0.613
0.500 0.813 0.519
0.500 0.813 0.805
0.000 0.572 0.630
0.500 0.315 0.432
0.000 0.800 0.278
0.000 0.304 0.004
```

Computed properties:
ΔE to the lowest computed polymorph, meV per atom: 0
Energy of formation, kJ/mol of formula units: 124

Record 4
VASP calculation (PBE) on an optimized crystal structure of HgBiPb2.

The structure in POSCAR format:
```
HgBiPb2
1.0
6.084 -2.013 -3.333
-1.985 6.092 3.333
-4.392 0.314 5.726
Pb Bi Hg
2 1 1
Direct
0.000 0.247 0.247
0.000 0.753 0.753
0.000 0.500 0.500
0.000 0.000 0.000
```

Computed properties:
ΔE to the lowest computed polymorph, meV per atom: 81
Energy of formation, kJ/mol of formula units: 36

Record 5
VASP calculation (PBE) on an optimized crystal structure of Hf5VGa3.

The structure in POSCAR format:
```
Hf5VGa3
1.0
-1.755 0.303 5.987
-6.121 -0.896 -0.862
0.352 -9.776 1.487
Ga V Hf
6 2 10
Direct
0.000 0.000 0.500
0.250 0.250 0.124
0.725 0.725 0.445
0.000 0.000 0.000
0.275 0.275 0.555
0.750 0.750 0.876
0.962 0.962 0.257
0.038 0.038 0.743
0.384 0.981 0.344
0.019 0.616 0.656
0.536 0.536 0.680
0.616 0.019 0.656
0.464 0.464 0.320
0.981 0.384 0.344
0.322 0.678 0.000
0.729 0.729 0.153
0.678 0.322 0.000
0.271 0.271 0.847
```

Computed properties:
Energy of formation, kJ/mol of formula units: 141

Record 6
VASP calculation (PBE) on an optimized crystal structure of K2BaNi.

The structure in POSCAR format:
```
K2BaNi
1.0
-0.589 -1.338 6.360
4.690 -1.620 0.093
1.560 4.579 1.108
Ni K Ba
1 2 1
Direct
0.500 0.500 0.000
0.000 0.500 0.500
0.000 0.000 0.000
0.500 0.000 0.500
```

Computed properties:
ΔE to the lowest computed polymorph, meV per atom: 217
Energy of formation, kJ/mol of formula units: 179

Record 7
VASP calculation (PBE) on an optimized crystal structure of Li4Sn2Sb.

The structure in POSCAR format:
```
Li4Sn2Sb
1.0
-1.389 -3.064 -0.155
3.732 -1.821 2.564
-6.438 2.585 6.564
Li Sn Sb
4 2 1
Direct
0.000 0.076 0.153
0.500 0.377 0.753
0.500 0.623 0.247
0.000 0.924 0.847
0.500 0.795 0.589
0.500 0.205 0.411
0.000 0.500 0.000
```

Computed properties:
E_form (uncorrected), eV per atom: -0.3670

Record 8
VASP calculation (PBE) on an optimized crystal structure of Sb6Pd12Pb.

The structure in POSCAR format:
```
Sb6Pd12Pb
1.0
-4.195 -6.373 0.982
0.304 1.384 -7.561
7.159 -1.608 2.310
Pd Sb Pb
12 6 1
Direct
0.500 0.879 0.121
0.121 0.500 0.879
0.878 0.639 0.639
0.361 0.122 0.361
0.121 0.879 0.500
0.122 0.361 0.361
0.639 0.639 0.878
0.879 0.121 0.500
0.361 0.361 0.122
0.879 0.500 0.121
0.500 0.121 0.879
0.639 0.878 0.639
0.689 0.278 0.278
0.722 0.311 0.722
0.722 0.722 0.311
0.278 0.689 0.278
0.278 0.278 0.689
0.311 0.722 0.722
0.000 0.000 0.000
```

Computed properties:
E_form (uncorrected), eV per atom: -0.2873

Calculated final energy, -0.363 -0.104 -0.047 -0.103 -0.272 -0.074 -0.117 -0.186 hartree per atom (same order as the records).
Calculated size of the total moment, 0.376 0.000 0.000 0.000 0.000 0.006 0.000 0.000 μB/atom (same order as the records).